## TbMgIrRu (PBE)

Data for a relaxed structure of TbMgIrRu.

Structure (extended XYZ):
```
4
Lattice="-3.758 0.795 2.611 -4.202 0.177 -1.971 -3.065 -3.406 0.756" Properties=species:S:1:pos:R:3 pbc="T T T"
Ru -2.756 -0.609 0.349
Mg 0.000 0.000 0.000
Ir -8.269 -1.826 1.047
Tb -5.513 -1.217 0.698
```

**Formation energy from the elements**: -1.15 eV/f.u.
**Fermi-level density of states**: 2.67 states/eV per cell
**Theoretical density**: 11.2 g cm⁻³
**Electronic total energy**: -6.379 eV per atom